# 1
A plane-wave DFT calculation with GGA-PBE was carried out for Nd2TmTl2Zn3Cd after structural relaxation.

Unit cell a=4.611 b=12.563 c=7.436 alpha=90.00 beta=90.00 gamma=90.00
Space group Amm2 (No. 38)
Inequivalent atoms, fractional coordinates:
Nd: 0.000 0.212 0.000 x4
Tm: 0.000 0.000 0.639 x2
Tl: 0.500 0.162 0.712 x4
Zn: 0.500 0.000 0.990 x2
Zn: 0.500 0.116 0.330 x4
Cd: 0.000 0.000 0.228 x2


# 2
A plane-wave DFT calculation with GGA-PBE was carried out for NdTm2Tl2Zn3Cd after structural relaxation.

Unit cell a=4.562 b=12.708 c=7.167 alpha=90.00 beta=90.00 gamma=90.00
Space group Amm2 (No. 38)
Inequivalent atoms, fractional coordinates:
Nd: 0.000 0.000 0.000 x2
Tm: 0.000 0.215 0.640 x4
Tl: 0.500 0.171 0.926 x4
Zn: 0.500 0.000 0.662 x2
Zn: 0.500 0.114 0.315 x4
Cd: 0.000 0.000 0.442 x2


no.,uncorrected energy (eV/atom)
1,-2.899
2,-2.855